No. 1
{
  "formula": "Y2HoZrN4",
  "functional": "PBE",
  "state": "relaxed",
  "lattice_angstrom": [[5.8970, 0.0000, 0.0000], [0.0000, 3.4006, 0.0000], [-1.9468, 0.0000, 5.5707]],
  "species": ["Y", "Y", "Ho", "Zr", "N", "N", "N", "N"],
  "frac_coords": [[0.0000, 0.0000, 0.0000], [0.5000, 0.5000, 0.0000], [0.0000, 0.5000, 0.5000], [0.5000, 0.0000, 0.5000], [0.2564, 0.0000, 0.7404], [0.2623, 0.5000, 0.2639], [0.7377, 0.5000, 0.7361], [0.7436, 0.0000, 0.2596]],
  "dos_ef_per_ev_atom": 0.14,
  "density_g_cm3": 7.28,
  "formation_energy_uncorrected_ev_per_fu": -13.85,
  "total_energy_ev_per_cell": -73.20,
  "m_tot_mub_per_cell": 0.00
}

=====

No. 2
{
  "formula": "Pa3TlZn4O12",
  "functional": "PBE",
  "state": "relaxed",
  "lattice_angstrom": [[5.8625, 3.3847, 2.8418], [-5.8625, 3.3847, 2.8418], [0.0000, -6.7694, 2.8418]],
  "species": ["Pa", "Pa", "Pa", "Tl", "Zn", "Zn", "Zn", "Zn", "O", "O", "O", "O", "O", "O", "O", "O", "O", "O", "O", "O"],
  "frac_coords": [[0.0000, 0.5531, 0.4469], [0.4469, 0.0000, 0.5531], [0.5531, 0.4469, 0.0000], [0.0000, 0.0000, 0.0000], [0.0544, 0.5000, 0.9456], [0.5000, 0.5000, 0.5000], [0.5000, 0.9456, 0.0544], [0.9456, 0.0544, 0.5000], [0.0287, 0.6243, 0.7504], [0.1096, 0.8904, 0.5000], [0.2496, 0.3757, 0.9713], [0.3376, 0.6624, 0.5000], [0.3757, 0.9713, 0.2496], [0.5000, 0.1096, 0.8904], [0.5000, 0.3376, 0.6624], [0.6243, 0.7504, 0.0287], [0.6624, 0.5000, 0.3376], [0.7504, 0.0287, 0.6243], [0.8904, 0.5000, 0.1096], [0.9713, 0.2496, 0.3757]],
  "dos_ef_per_ev_atom": 0.00,
  "density_g_cm3": 6.63,
  "formation_energy_uncorrected_ev_per_fu": -48.43,
  "total_energy_ev_per_cell": -143.88,
  "m_tot_mub_per_cell": 0.00
}